# Ho3TmSb4 (PBE, optimized geometry)
data_Ho3TmSb4
_cell_length_a 6.160
_cell_length_b 6.160
_cell_length_c 6.160
_cell_angle_alpha 90.00
_cell_angle_beta 90.00
_cell_angle_gamma 90.00
_space_group_name_H-M_alt 'P m -3 m'
_space_group_IT_number 221
_space_group_name_Hall '-P 4 2 3'
loop_
_atom_site_label
_atom_site_fract_x
_atom_site_fract_y
_atom_site_fract_z
Ho1 0.000 0.000 0.500
Tm1 0.500 0.500 0.500
Sb1 0.000 0.000 0.000
Sb2 0.000 0.500 0.500
# - volume (Å³ per cell) = 233.8
# - M_tot (μB per cell) = 0.003
# - VASP energy (eV per cell) = -43.503

# HoTmSb2 (PBE, optimized geometry)
data_HoTmSb2
_cell_length_a 4.346
_cell_length_b 4.346
_cell_length_c 6.147
_cell_angle_alpha 90.00
_cell_angle_beta 90.00
_cell_angle_gamma 90.00
_space_group_name_H-M_alt 'P 4/m m m'
_space_group_IT_number 123
_space_group_name_Hall '-P 4 2'
loop_
_atom_site_label
_atom_site_fract_x
_atom_site_fract_y
_atom_site_fract_z
Ho1 0.000 0.000 0.000
Tm1 0.500 0.500 0.500
Sb1 0.000 0.000 0.500
Sb2 0.500 0.500 0.000
# - volume (Å³ per cell) = 116.1
# - M_tot (μB per cell) = 0.001
# - VASP energy (eV per cell) = -21.654